Record 1
Compound: Y4In3Pt
Source: the Alexandria database
Functional: PBE
Structure: optimized geometry

Cell and atoms, written as POSCAR:
```
Y4In3Pt
1.0
3.600 0.000 0.000
0.000 3.600 0.000
0.000 0.000 15.671
In Y Pt
3 4 1
Direct
0.500 0.500 0.500 In
0.500 0.500 0.240 In
0.500 0.500 0.760 In
0.000 0.000 0.369 Y
0.000 0.000 0.894 Y
0.000 0.000 0.106 Y
0.000 0.000 0.631 Y
0.500 0.500 0.000 Pt
```

***

Record 2
Compound: Y6In3Pt
Source: the Alexandria database
Functional: PBE
Structure: optimized geometry

Cell and atoms, written as POSCAR:
```
Y6In3Pt
1.0
-3.246 -3.444 1.762
7.264 -4.026 5.510
-5.361 8.184 6.123
In Y Pt
6 12 2
Direct
0.250 0.777 0.988 In
0.250 0.369 0.769 In
0.750 0.223 0.012 In
0.250 0.546 0.387 In
0.750 0.454 0.613 In
0.750 0.631 0.231 In
0.750 0.543 0.909 Y
0.750 0.346 0.308 Y
0.250 0.888 0.365 Y
0.250 0.654 0.692 Y
0.250 0.109 0.850 Y
0.750 0.112 0.635 Y
0.750 0.891 0.150 Y
0.250 0.457 0.091 Y
0.750 0.746 0.520 Y
0.750 0.879 0.852 Y
0.250 0.121 0.148 Y
0.250 0.254 0.480 Y
0.750 0.102 0.383 Pt
0.250 0.898 0.617 Pt
```

***

Record 3
Compound: Y2In5Pt3
Source: the Alexandria database
Functional: PBE
Structure: optimized geometry

Cell and atoms, written as POSCAR:
```
Y2In5Pt3
1.0
4.393 0.000 -0.748
0.000 7.355 0.000
0.055 0.000 13.594
In Y Pt
10 4 6
Direct
0.707 0.990 0.414 In
0.402 0.406 0.803 In
0.293 0.490 0.586 In
0.707 0.403 0.414 In
0.293 0.903 0.586 In
0.598 0.906 0.197 In
0.947 0.115 0.893 In
0.053 0.615 0.107 In
0.876 0.754 0.753 In
0.124 0.254 0.247 In
0.824 0.197 0.648 Y
0.176 0.697 0.352 Y
0.522 0.282 0.044 Y
0.478 0.782 0.956 Y
0.772 0.696 0.543 Pt
0.956 0.501 0.913 Pt
0.390 0.020 0.780 Pt
0.044 0.001 0.087 Pt
0.228 0.196 0.457 Pt
0.610 0.520 0.220 Pt
```

***

Record 4
Compound: Y2InPt2
Source: the Alexandria database
Functional: PBE
Structure: optimized geometry

Cell and atoms, written as POSCAR:
```
Y2InPt2
1.0
-5.436 0.752 -0.194
0.005 -1.336 -5.326
-3.291 -4.205 -1.779
Y Pt In
2 2 1
Direct
0.750 0.250 0.500 Y
0.250 0.750 0.500 Y
0.656 0.656 0.688 Pt
0.344 0.344 0.312 Pt
0.000 0.000 0.000 In
```

***

Record 5
Compound: Y12InPt6
Source: the Alexandria database
Functional: PBE
Structure: optimized geometry

Cell and atoms, written as POSCAR:
```
Y12InPt6
1.0
-3.121 -1.261 -7.985
6.986 5.112 -0.402
2.198 -7.626 3.480
Y Pt In
12 6 1
Direct
0.299 0.118 0.819 Y
0.181 0.299 0.479 Y
0.701 0.882 0.181 Y
0.479 0.181 0.299 Y
0.181 0.701 0.882 Y
0.819 0.701 0.521 Y
0.521 0.819 0.701 Y
0.299 0.479 0.181 Y
0.819 0.299 0.118 Y
0.882 0.181 0.701 Y
0.118 0.819 0.299 Y
0.701 0.521 0.819 Y
0.138 0.638 0.500 Pt
0.500 0.138 0.638 Pt
0.638 0.500 0.138 Pt
0.862 0.362 0.500 Pt
0.362 0.500 0.862 Pt
0.500 0.862 0.362 Pt
0.000 0.000 0.000 In
```

***

Record 6
Compound: Y2InPt
Source: the Alexandria database
Functional: PBE
Structure: optimized geometry

Cell and atoms, written as POSCAR:
```
Y2InPt
1.0
6.400 -0.025 0.019
5.414 3.413 0.019
1.865 0.535 4.501
Pt In Y
1 1 2
Direct
0.750 0.750 0.750 Pt
0.454 0.454 0.546 In
0.252 0.252 0.248 Y
0.044 0.044 0.956 Y
```

***

Record 7
Compound: Y6In3Pt
Source: the Alexandria database
Functional: PBE
Structure: optimized geometry

Cell and atoms, written as POSCAR:
```
Y6In3Pt
1.0
-4.298 0.983 2.769
-3.371 -8.088 -2.360
4.986 -4.837 9.455
Y In Pt
12 6 2
Direct
0.000 0.341 0.417 Y
0.000 0.987 0.238 Y
0.000 0.315 0.090 Y
0.000 0.013 0.762 Y
0.500 0.841 0.083 Y
0.000 0.659 0.583 Y
0.500 0.487 0.262 Y
0.500 0.513 0.738 Y
0.000 0.685 0.910 Y
0.500 0.159 0.917 Y
0.500 0.815 0.410 Y
0.500 0.185 0.590 Y
0.500 0.846 0.726 In
0.000 0.346 0.774 In
0.000 0.654 0.226 In
0.500 0.154 0.274 In
0.000 0.000 0.500 In
0.500 0.500 0.000 In
0.500 0.500 0.500 Pt
0.000 0.000 0.000 Pt
```

***

Record 8
Compound: YIn4Pt2
Source: the Alexandria database
Functional: PBE
Structure: optimized geometry

Cell and atoms, written as POSCAR:
```
YIn4Pt2
1.0
4.470 0.000 0.000
0.000 7.367 0.000
0.000 0.000 18.546
Y Pt In
4 8 16
Direct
0.750 0.545 0.143 Y
0.250 0.045 0.357 Y
0.250 0.455 0.857 Y
0.750 0.955 0.643 Y
0.250 0.748 0.043 Pt
0.250 0.548 0.281 Pt
0.750 0.248 0.457 Pt
0.250 0.752 0.543 Pt
0.750 0.048 0.219 Pt
0.750 0.252 0.957 Pt
0.750 0.452 0.719 Pt
0.250 0.952 0.781 Pt
0.250 0.253 0.189 In
0.250 0.138 0.534 In
0.750 0.862 0.466 In
0.250 0.362 0.034 In
0.750 0.747 0.811 In
0.750 0.161 0.813 In
0.250 0.247 0.689 In
0.750 0.501 0.569 In
0.250 0.839 0.187 In
0.250 0.661 0.687 In
0.250 0.499 0.431 In
0.750 0.753 0.311 In
0.750 0.339 0.313 In
0.750 0.999 0.069 In
0.750 0.638 0.966 In
0.250 0.001 0.931 In
```

***

Record 9
Compound: Y5InPt2
Source: the Alexandria database
Functional: PBE
Structure: optimized geometry

Cell and atoms, written as POSCAR:
```
Y5InPt2
1.0
7.129 0.000 -3.365
-1.589 6.949 -3.365
-0.232 -0.291 8.742
In Y Pt
2 10 4
Direct
0.750 0.750 0.500 In
0.250 0.250 0.500 In
0.978 0.478 0.276 Y
0.022 0.522 0.724 Y
0.797 0.978 0.276 Y
0.203 0.022 0.724 Y
0.522 0.703 0.724 Y
0.500 0.500 0.000 Y
0.478 0.297 0.276 Y
0.703 0.203 0.724 Y
0.000 0.000 0.000 Y
0.297 0.797 0.276 Y
0.864 0.636 0.000 Pt
0.136 0.364 0.000 Pt
0.364 0.864 0.000 Pt
0.636 0.136 0.000 Pt
```

***

Record 10
Compound: Y2InPt
Source: the Alexandria database
Functional: PBE
Structure: optimized geometry

Cell and atoms, written as POSCAR:
```
Y2InPt
1.0
8.915 0.018 0.011
8.047 3.837 0.011
8.047 1.829 3.373
Pt Y In
1 2 1
Direct
0.755 0.755 0.755 Pt
0.238 0.238 0.238 Y
0.025 0.025 0.025 Y
0.482 0.482 0.482 In
```

***

Record 11
Compound: Y2InPt
Source: the Alexandria database
Functional: PBE
Structure: optimized geometry

Cell and atoms, written as POSCAR:
```
Y2InPt
1.0
3.554 0.000 0.000
0.000 3.554 0.001
0.000 3.556 7.655
Y Pt In
2 1 1
Direct
0.000 0.471 0.529 Y
0.000 0.029 0.971 Y
0.500 0.750 0.750 Pt
0.500 0.250 0.250 In
```

***

Record 12
Compound: Y2InPt2
Source: the Alexandria database
Functional: PBE
Structure: optimized geometry

Cell and atoms, written as POSCAR:
```
Y2InPt2
1.0
-2.051 3.081 1.104
0.332 -1.100 3.687
6.130 5.398 3.082
Y Pt In
2 2 1
Direct
0.378 0.378 0.243 Y
0.622 0.622 0.757 Y
0.750 0.250 0.500 Pt
0.250 0.750 0.500 Pt
0.000 0.000 0.000 In
```

***

no.,E (eV per cell)
1,-45.54
2,-116.96
3,-104.17
4,-32.03
5,-132.76
6,-24.67
7,-116.57
8,-135.33
9,-107.48
10,-23.35
11,-25.14
12,-31.38